{
  "formula": "CrNiBi2O6",
  "functional": "GGA+U",
  "state": "optimized geometry",
  "crystal_system": "monoclinic",
  "final_energy_ev_per_atom": -6.067,
  "mass_density_g_cm3": 8.60,
  "vol_a3_per_atom": 12.06,
  "lattice_angstrom": [[-0.195, -5.397, 0.433], [4.934, 0.056, 2.920], [-3.947, 0.625, 6.657]],
  "species": ["Bi", "Bi", "Bi", "Bi", "O", "O", "O", "O", "O", "O", "O", "O", "O", "O", "O", "O", "Cr", "Cr", "Ni", "Ni"],
  "frac_coords": [[0.487, 0.441, 0.247], [0.013, 0.941, 0.253], [0.513, 0.559, 0.753], [0.987, 0.059, 0.747], [0.316, 0.704, 0.445], [0.196, 0.186, 0.452], [0.184, 0.204, 0.055], [0.816, 0.796, 0.945], [0.608, 0.040, 0.256], [0.304, 0.686, 0.048], [0.804, 0.814, 0.548], [0.108, 0.460, 0.756], [0.392, 0.960, 0.744], [0.684, 0.296, 0.555], [0.696, 0.314, 0.952], [0.892, 0.540, 0.244], [0.000, 0.500, 0.000], [0.500, 0.000, 0.500], [0.500, 0.000, 0.000], [0.000, 0.500, 0.500]]
}